P | DFT (PBE) results for crystalline La2CrOs at its relaxed geometry.

Geometry as extended XYZ:
```
4
Lattice="3.898 0.000 0.000 0.000 3.185 0.027 0.000 2.195 8.138" Properties=species:S:1:pos:R:3 pbc="T T T"
Os 0.000 2.898 4.703
La 0.000 5.076 7.470
La 1.949 1.594 2.761
Cr 1.949 3.884 5.480
```

Magnetic moment ... 0.00 μB per formula unit
DOS at the Fermi energy ... 5.27 states/eV per cell
Space group ... Pm (6)

---

Q | DFT (PBE) results for crystalline La2CrOs at its relaxed geometry.

Geometry as extended XYZ:
```
4
Lattice="4.992 0.000 0.000 2.496 4.323 0.000 2.496 1.441 4.076" Properties=species:S:1:pos:R:3 pbc="T T T"
La 0.000 0.000 0.000
La 7.488 4.323 3.057
Cr 4.992 2.882 2.038
Os 2.496 1.441 1.019
```

Magnetic moment ... 4.24 μB per formula unit
DOS at the Fermi energy ... 5.10 states/eV per cell
Space group ... F-43m (216)

---

Referenced to the most stable arrangement, the calculated values in eV/atom are P 0.000; Q 0.149.